1 | Al3PdBr | PBE-GGA | relaxed

Lattice parameters (Å, degrees): 5.024 5.024 5.024 90.00 90.00 90.00
Space group Pm-3m (No. 221)
Inequivalent atoms, fractional coordinates:
Al  0.000  0.000  0.500 [3 per cell]
Pd  0.500  0.500  0.500 [1 per cell]
Br  0.000  0.000  0.000 [1 per cell]

Magnetization: 0.0 μB/f.u.

2 | Al3PdBr | PBE-GGA | relaxed

Lattice parameters (Å, degrees): 4.844 4.844 4.844 90.00 90.00 90.00
Space group Pm-3m (No. 221)
Inequivalent atoms, fractional coordinates:
Al  0.000  0.000  0.500 [3 per cell]
Pd  0.000  0.000  0.000 [1 per cell]
Br  0.500  0.500  0.500 [1 per cell]

Magnetization: 0.0 μB/f.u.

Bottom line: 2, by a margin of 1.301 eV/atom.

1 | AlPdSe2Br | PBE-GGA | relaxed

Lattice parameters (Å, degrees): 4.911 4.911 4.967 90.00 90.00 90.00
Space group P4/mmm (No. 123)
Inequivalent atoms, fractional coordinates:
Al  0.000  0.000  0.000 [1 per cell]
Pd  0.500  0.500  0.500 [1 per cell]
Se  0.000  0.500  0.000 [2 per cell]
Br  0.000  0.000  0.500 [1 per cell]

Magnetization: 1.1 μB/f.u.

2 | AlPdSe2Br | PBE-GGA | relaxed

Lattice parameters (Å, degrees): 4.977 4.977 5.174 90.00 90.00 90.00
Space group P4/mmm (No. 123)
Inequivalent atoms, fractional coordinates:
Al  0.000  0.000  0.000 [1 per cell]
Pd  0.500  0.500  0.500 [1 per cell]
Se  0.000  0.500  0.500 [2 per cell]
Br  0.500  0.500  0.000 [1 per cell]

Magnetization: 0.0 μB/f.u.

Bottom line: 1, by a margin of 0.027 eV/atom.

1 | AlPtSe2Br | PBE-GGA | relaxed

Lattice parameters (Å, degrees): 4.943 4.943 4.704 90.00 90.00 90.00
Space group P4/mmm (No. 123)
Inequivalent atoms, fractional coordinates:
Al  0.000  0.000  0.000 [1 per cell]
Pt  0.500  0.500  0.500 [1 per cell]
Se  0.000  0.500  0.000 [2 per cell]
Br  0.000  0.000  0.500 [1 per cell]

Magnetization: 0.0 μB/f.u.

2 | AlPtSe2Br | PBE-GGA | relaxed

Lattice parameters (Å, degrees): 4.980 4.980 5.248 90.00 90.00 90.00
Space group P4/mmm (No. 123)
Inequivalent atoms, fractional coordinates:
Al  0.000  0.000  0.000 [1 per cell]
Pt  0.500  0.500  0.500 [1 per cell]
Se  0.000  0.500  0.500 [2 per cell]
Br  0.500  0.500  0.000 [1 per cell]

Magnetization: 0.0 μB/f.u.

Bottom line: 2, by a margin of 0.194 eV/atom.

1 | AlPtSeBr2 | PBE-GGA | relaxed

Lattice parameters (Å, degrees): 4.797 4.797 5.288 90.00 90.00 90.00
Space group P4/mmm (No. 123)
Inequivalent atoms, fractional coordinates:
Al  0.000  0.000  0.000 [1 per cell]
Pt  0.500  0.500  0.500 [1 per cell]
Se  0.000  0.000  0.500 [1 per cell]
Br  0.000  0.500  0.000 [2 per cell]

Magnetization: 0.7 μB/f.u.

2 | AlPtSeBr2 | PBE-GGA | relaxed

Lattice parameters (Å, degrees): 5.323 5.323 4.848 90.00 90.00 90.00
Space group P4/mmm (No. 123)
Inequivalent atoms, fractional coordinates:
Al  0.000  0.000  0.000 [1 per cell]
Pt  0.500  0.500  0.500 [1 per cell]
Se  0.500  0.500  0.000 [1 per cell]
Br  0.000  0.500  0.500 [2 per cell]

Magnetization: 0.0 μB/f.u.

Bottom line: 2, by a margin of 0.238 eV/atom.

1 | RbAl2Br2 | PBE-GGA | relaxed

Lattice parameters (Å, degrees): 8.979 8.979 4.518 90.00 90.00 90.00
Space group P4/mbm (No. 127)
Inequivalent atoms, fractional coordinates:
Rb  0.000  0.000  0.000 [2 per cell]
Al  0.104  0.396  0.500 [4 per cell]
Br  0.150  0.650  0.000 [4 per cell]

Magnetization: 0.7 μB/f.u.

2 | RbAl2Br2 | PBE-GGA | relaxed

Lattice parameters (Å, degrees): 3.944 3.944 18.799 90.00 90.00 90.00
Space group I4/mmm (No. 139)
Inequivalent atoms, fractional coordinates:
Rb  0.000  0.000  0.000 [2 per cell]
Al  0.000  0.500  0.250 [4 per cell]
Br  0.000  0.000  0.389 [4 per cell]

Magnetization: 0.0 μB/f.u.

3 | RbAl2Br2 | PBE-GGA | relaxed

Lattice parameters (Å, degrees): 5.865 5.865 10.014 90.00 90.00 90.00
Space group I4/mmm (No. 139)
Inequivalent atoms, fractional coordinates:
Rb  0.000  0.000  0.000 [2 per cell]
Al  0.000  0.000  0.352 [4 per cell]
Br  0.000  0.500  0.250 [4 per cell]

Magnetization: 0.0 μB/f.u.

Bottom line: 2, by a margin of 0.337 eV/atom.

1 | Rb2AlBr | PBE-GGA | relaxed

Lattice parameters (Å, degrees): 9.652 9.652 8.355 90.00 90.00 90.00
Space group I-42d (No. 122)
Inequivalent atoms, fractional coordinates:
Rb  0.210  0.750  0.125 [8 per cell]
Al  0.000  0.000  0.500 [4 per cell]
Br  0.000  0.000  0.000 [4 per cell]

Magnetization: 0.0 μB/f.u.

2 | Rb2AlBr | PBE-GGA | relaxed

Lattice parameters (Å, degrees): 8.843 8.843 8.843 90.00 90.00 90.00
Space group Fm-3m (No. 225)
Inequivalent atoms, fractional coordinates:
Rb  0.250  0.250  0.250 [8 per cell]
Al  0.000  0.000  0.000 [4 per cell]
Br  0.000  0.000  0.500 [4 per cell]

Magnetization: 2.0 μB/f.u.

Bottom line: 1, by a margin of 0.052 eV/atom.